DFT (PBE) results for an optimized crystal structure of Ce2PrBi.

Cell lengths 4.8004, 4.8004, 5.1206 Å; angles 90.00, 90.00, 90.00 degrees
Space group P4/mmm (No. 123)
Asymmetric unit:
Ce: 0.0000 0.5000 0.0000 x2
Pr: 0.0000 0.0000 0.5000 x1
Bi: 0.5000 0.5000 0.5000 x1

Values from the calculation:
Energy of formation from the pure elements   -36.8 kJ per mole of atoms
V   29.500 Å³ per atom
Density   8.87 g/cm3
Spin magnetization   1.95 Bohr magnetons per cell
E   -22.1 eV/cell
Offset from the most stable computed form   0.0785 eV per atom

DFT (PBE) results for an optimized crystal structure of CePrPu2Bi4.

Cell lengths 7.9194, 4.5863, 7.9440 Å; angles 90.00, 109.52, 90.00 degrees
Space group P2/m (No. 10)
Asymmetric unit:
Ce: 0.0000 0.0000 0.0000 x1
Pr: 0.0000 0.5000 0.5000 x1
Pu: 0.5000 0.0000 0.5000 x1
Pu: 0.5000 0.5000 0.0000 x1
Bi: 0.2536 0.5000 0.2484 x2
Bi: 0.2562 0.0000 0.7550 x2

Values from the calculation:
Energy of formation from the pure elements   -58.1 kJ per mole of atoms
V   33.994 Å³ per atom
Density   9.80 g/cm3
Spin magnetization   11.04 Bohr magnetons per cell
E   -59.7 eV/cell

Please write out number 1 again, unchanged.
DFT (PBE) results for an optimized crystal structure of Ce2PrBi.

Cell lengths 4.8004, 4.8004, 5.1206 Å; angles 90.00, 90.00, 90.00 degrees
Space group P4/mmm (No. 123)
Asymmetric unit:
Ce: 0.0000 0.5000 0.0000 x2
Pr: 0.0000 0.0000 0.5000 x1
Bi: 0.5000 0.5000 0.5000 x1

Values from the calculation:
Energy of formation from the pure elements   -36.8 kJ per mole of atoms
V   29.500 Å³ per atom
Density   8.87 g/cm3
Spin magnetization   1.95 Bohr magnetons per cell
E   -22.1 eV/cell
Offset from the most stable computed form   0.0785 eV per atom

> E of number 1 (Ce2PrBi)?

-22.1 eV/cell